No. 1
6
Lattice="-3.386 1.866 3.267 -2.325 2.842 -4.032 -1.714 -5.057 1.112" Properties=species:S:1:pos:R:3 comment="Mg5Al (PBE-GGA, optimized geometry)" ef_ev_per_atom=0.02 space_group="P-62m, No. 189" pbc="T T T"
Mg -0.754 0.921 -1.307
Mg -0.555 -1.639 0.360
Mg -2.730 -1.497 -1.974
Mg -3.814 1.142 -0.684
Mg -3.610 -1.491 1.031
Al -1.693 0.933 1.634


No. 2
18
Lattice="3.572 0.000 0.000 -1.786 7.278 0.000 0.000 0.000 10.253" Properties=species:S:1:pos:R:3 comment="TiRhPb2O5 (PBE-GGA, optimized geometry)" raw_formation_energy_mev_per_atom=-1460 space_group="Cmc2_1, No. 36" pbc="T T T"
Ti 1.786 0.999 9.810
Ti 0.000 6.279 4.683
Rh 1.786 4.434 5.276
Rh 0.000 2.844 0.149
Pb 1.786 5.350 8.281
Pb 0.000 2.019 6.822
Pb 0.000 1.928 3.155
Pb 1.786 5.259 1.695
O 0.000 4.894 0.082
O 1.786 2.730 9.042
O 0.000 7.251 8.371
O 0.000 4.400 6.539
O 1.786 6.567 5.492
O 1.786 2.384 5.208
O 0.000 4.548 3.916
O 1.786 0.027 3.244
O 1.786 2.878 1.412
O 0.000 0.711 0.366


No. 3
5
Lattice="-4.355 1.054 -3.349 2.902 -0.488 -3.928 -1.177 -5.466 -0.190" Properties=species:S:1:pos:R:3 comment="MgGeBi2Se (PBE-GGA, optimized geometry)" raw_formation_energy_mev_per_atom=389 space_group="P4/mmm, No. 123" pbc="T T T"
Mg 1.451 -0.244 -1.964
Ge 0.000 0.000 0.000
Bi -0.588 -2.733 -0.095
Bi -2.178 0.527 -1.674
Se -1.315 -2.450 -3.733


No. 4
4
Lattice="4.246 0.000 0.000 2.123 3.677 0.000 2.123 1.226 11.765" Properties=species:S:1:pos:R:3 comment="RbNdI2 (PBE-GGA, optimized geometry)" raw_formation_energy_mev_per_atom=-957 polymorph_energy_mev_per_atom=52 space_group="R-3m, No. 166" pbc="T T T"
I 2.123 1.226 7.999
I 6.369 3.677 3.766
Nd 4.246 2.452 5.882
Rb 0.000 0.000 0.000


No. 5
10
Lattice="-5.387 0.147 -1.879 1.060 -4.454 -3.407 -3.307 -4.776 0.431" Properties=species:S:1:pos:R:3 comment="Ba2AgH6Pd (PBE-GGA, optimized geometry)" final_energy_ev_per_atom=-3.58 space_group="C2/m, No. 12" pbc="T T T"
Ba -5.427 -3.392 -2.046
Ba -2.206 -5.691 -2.809
Ag -2.163 -2.154 -2.643
H -2.685 -3.346 -1.254
H -6.680 -8.133 -3.694
H -0.362 -3.439 -3.070
H -3.965 -0.868 -2.216
H -0.954 -0.951 -1.161
H -4.949 -5.738 -3.601
Pd 0.000 0.000 0.000


No. 6
3
Lattice="3.591 0.000 0.000 0.000 3.591 0.000 -1.795 -1.795 7.985" Properties=species:S:1:pos:R:3 comment="CaPrPu (PBE-GGA, optimized geometry)" ef_ev_per_atom=0.21 space_group="I4mm, No. 107" pbc="T T T"
Pr 0.000 0.000 5.174
Ca 0.000 0.000 0.073
Pu 1.795 1.795 2.738


No. 7
19
Lattice="-6.136 -1.331 -7.441 8.612 3.267 -3.153 1.072 -8.212 5.119" Properties=species:S:1:pos:R:3 comment="La12Sm6Pu (PBE-GGA, optimized geometry)" ef_ev_per_atom=0.04 space_group="R-3, No. 148" pbc="T T T"
La -1.173 -5.083 0.038
La 5.059 -1.222 -0.348
La -0.311 -0.019 -5.207
La 4.721 -1.193 -5.513
La -1.511 -5.053 -5.127
La 3.859 -6.256 -0.268
La 1.493 -5.717 2.543
La 7.046 -4.358 -0.428
La -1.997 -7.649 -2.517
La 2.055 -0.558 -8.018
La -3.498 -1.917 -5.047
La 5.545 1.374 -2.958
Sm 1.914 -3.098 -0.167
Sm 1.220 -5.652 -2.741
Sm 4.264 -3.760 -2.935
Sm 1.634 -3.178 -5.308
Sm 2.328 -0.624 -2.734
Sm -0.716 -2.515 -2.540
Pu 0.000 0.000 0.000


No. 8
7
Lattice="3.331 0.000 0.000 0.000 8.292 0.330 0.000 -1.218 8.209" Properties=species:S:1:pos:R:3 comment="Tl2SnHg4 (PBE-GGA, optimized geometry)" ef_ev_per_atom=0.09 polymorph_energy_mev_per_atom=78 space_group="Cmmm, No. 65" pbc="T T T"
Tl 1.665 -0.609 4.104
Tl 1.665 4.146 0.165
Sn 0.000 0.000 0.000
Hg 1.665 5.252 6.339
Hg 0.000 1.141 6.255
Hg 1.665 1.822 2.199
Hg 0.000 5.934 2.284